A relaxed structure of PrHo2Lu, computed with PBE.

Calculated values
polymorph energy (0 for the lowest one): 0.46 eV per formula unit

a = 8.013 Å, b = 8.013 Å, c = 8.013 Å
α = 90.00°, β = 90.00°, γ = 90.00°
Space group Fm-3m (No. 225)
Inequivalent atoms, fractional coordinates:
Pr1 0.000 0.000 0.000 (multiplicity 4)
Ho1 0.250 0.250 0.250 (multiplicity 8)
Lu1 0.000 0.000 0.500 (multiplicity 4)


A relaxed structure of Li4Cd3Pt2, computed with PBE.

Calculated values
DFT total energy: -2.919 eV/atom

a = 8.884 Å, b = 4.106 Å, c = 8.515 Å
α = 90.00°, β = 108.12°, γ = 90.00°
Space group C2/m (No. 12)
Inequivalent atoms, fractional coordinates:
Li1 0.001 0.000 0.177 (multiplicity 4)
Li2 0.167 0.500 0.394 (multiplicity 4)
Cd1 0.000 0.000 0.500 (multiplicity 2)
Cd2 0.169 0.500 0.069 (multiplicity 4)
Pt1 0.166 0.500 0.718 (multiplicity 4)


A relaxed structure of Li2HfV2, computed with PBE.

Calculated values
polymorph energy (0 for the lowest one): 0.00 eV per formula unit

a = 3.713 Å, b = 3.713 Å, c = 12.626 Å
α = 90.00°, β = 90.00°, γ = 90.00°
Space group I4/mmm (No. 139)
Inequivalent atoms, fractional coordinates:
Li1 0.000 0.500 0.250 (multiplicity 4)
Hf1 0.000 0.000 0.000 (multiplicity 2)
V1 0.000 0.000 0.416 (multiplicity 4)


A relaxed structure of ReSbP2, computed with PBE.

Calculated values
DFT total energy: -6.541 eV/atom

a = 3.584 Å, b = 4.444 Å, c = 4.630 Å
α = 90.00°, β = 99.73°, γ = 90.00°
Space group P2/m (No. 10)
Inequivalent atoms, fractional coordinates:
Re1 0.000 0.000 0.000 (multiplicity 1)
Sb1 0.500 0.000 0.500 (multiplicity 1)
P1 0.226 0.500 0.848 (multiplicity 2)